Material: Ho4Te2IrSe
Method: DFT, PBE-GGA
State: relaxed

Structure (POSCAR):
```
Ho4Te2IrSe
1.0
-2.979 1.519 -2.416
-2.212 -6.868 -1.590
-3.711 2.331 6.043
Ho Te Ir Se
4 2 1 1
Direct
0.500 0.256 0.217
0.500 0.744 0.783
0.000 0.283 0.794
0.000 0.717 0.206
0.500 0.000 0.500
0.000 0.500 0.500
0.500 0.500 0.000
0.000 0.000 0.000
```

## Properties
The value obtained for the uncorrected formation energy is -1.314 eV per atom. For the total energy, the calculation gives -47.45 eV for the cell shown. The space-group type is No. 10.